Entry 1:
First-principles (PBE) data for HoMg2 after structural relaxation, as listed in the Open Quantum Materials Database.

Calculated values
Final energy in eV/atom: -0.864

abc: 15.332 15.332 15.332
angles: 90.00 90.00 90.00
Space group Fd-3m (No. 227, origin choice 2)
Inequivalent atoms, fractional coordinates:
Ho 0.125 0.125 0.125
Mg 0.000 0.000 0.000

=====

Entry 2:
First-principles (PBE) data for NdYNi2I2 after structural relaxation, as listed in the Open Quantum Materials Database.

Calculated values
Final energy in eV/atom: -5.114

abc: 4.1175 4.1175 12.1738
angles: 90.00 90.00 120.00
Space group P3m1 (No. 156)
Inequivalent atoms, fractional coordinates:
Nd 0.0000 0.0000 0.0000
Y 0.0000 0.0000 0.3034
Ni 0.3333 0.6667 0.1620
Ni 0.6667 0.3333 0.1498
I 0.3333 0.6667 0.8165
I 0.6667 0.3333 0.4786

=====

Entry 3:
First-principles (PBE) data for SrSn2IrPt after structural relaxation, as listed in the Open Quantum Materials Database.

Calculated values
Final energy in eV/atom: -5.537

abc: 4.716 4.716 10.501
angles: 90.00 90.00 90.00
Space group P4/nmm (No. 129, origin choice 2)
Inequivalent atoms, fractional coordinates:
Sr 0.250 0.250 0.245
Sn 0.250 0.250 0.874
Sn 0.250 0.750 0.500
Ir 0.250 0.250 0.625
Pt 0.250 0.750 0.000